Entry from Alexandria via LeMat-Bulk: a relaxed structure of SiNi2Os (GGA-PBEsol).

abc: 3.5244 3.5244 3.7294
angles: 90.00 90.00 90.00
Closest atoms and distances in Å follow each position.
Space group P4/mmm (No. 123)
Symmetry-distinct sites (fractional):
Si 0.0000 0.0000 0.0000 (multiplicity 1)  4 Os 2.49, 8 Ni 2.57
Ni 0.0000 0.5000 0.5000 (multiplicity 2)  4 Ni 2.49, 4 Si 2.57, 4 Os 2.57
Os 0.5000 0.5000 0.0000 (multiplicity 1)  4 Si 2.49, 8 Ni 2.57

Values from the calculation:
VASP energy ... -7.7736 eV per atom
Total magnetic moment ... 0.0 Bohr magnetons per cell
ΔE_f (raw) ... -0.204 eV/atom
Crystal system ... tetragonal

Entry from Alexandria via LeMat-Bulk: a relaxed structure of Sr2FePb (GGA-PBEsol).

abc: 3.8937 5.3667 11.2745
angles: 90.00 90.00 90.00
Closest atoms and distances in Å follow each position.
Space group Imm2 (No. 44)
Symmetry-distinct sites (fractional):
Sr 0.0000 0.0000 0.0000 (multiplicity 2)  4 Fe 3.38, 2 Sr 3.52, 4 Pb 3.68
Sr 0.0000 0.5000 0.2014 (multiplicity 2)  4 Pb 3.42, 2 Sr 3.52, 4 Fe 3.53-3.80
Fe 0.0000 0.0000 0.4404 (multiplicity 2)  2 Pb 2.68
Pb 0.0000 0.5000 0.7773 (multiplicity 2)  2 Fe 2.68

Values from the calculation:
VASP energy ... -3.9875 eV per atom
Total magnetic moment ... 5.4 Bohr magnetons per cell
Energy of formation from the pure elements ... 173 meV/atom
Crystal system ... orthorhombic

Entry from Alexandria via LeMat-Bulk: a relaxed structure of CaZr2Ni (GGA-PBEsol).

abc: 10.7277 3.1549 5.9095
angles: 90.00 120.58 90.00
Closest atoms and distances in Å follow each position.
Space group Cm (No. 8)
Symmetry-distinct sites (fractional):
Ca 0.0000 0.0000 0.0000 (multiplicity 2)  3 Ni 2.86-2.98, 2 Ca 3.15, 1 Zr 3.19
Zr 0.1760 0.0000 0.6277 (multiplicity 2)  2 Ni 2.57
Zr 0.3891 0.0000 0.4046 (multiplicity 2)  2 Ni 2.63
Ni 0.2238 0.5000 0.0067 (multiplicity 2)  4 Zr 2.57-2.63, 2 Ca 2.86

Values from the calculation:
ΔE to the lowest computed polymorph ... 0.000 eV/atom
VASP energy ... -6.5118 eV per atom
Total magnetic moment ... 0.0 Bohr magnetons per cell
Energy of formation from the pure elements ... 106 meV/atom
Crystal system ... monoclinic

Entry from Alexandria via LeMat-Bulk: a relaxed structure of SrY2MgGe (GGA-PBEsol).

abc: 5.5562 5.5562 5.2183
angles: 90.00 90.00 90.00
Closest atoms and distances in Å follow each position.
Space group P4/mmm (No. 123)
Symmetry-distinct sites (fractional):
Sr 0.0000 0.0000 0.0000 (multiplicity 1)  8 Y 3.81, 4 Mg 3.93
Y 0.0000 0.5000 0.5000 (multiplicity 2)  2 Ge 2.78
Mg 0.5000 0.5000 0.0000 (multiplicity 1)  2 Ge 2.61
Ge 0.5000 0.5000 0.5000 (multiplicity 1)  2 Mg 2.61, 4 Y 2.78

Values from the calculation:
VASP energy ... -4.5200 eV per atom
Total magnetic moment ... 0.0 Bohr magnetons per cell
Energy of formation from the pure elements ... -92 meV/atom
Crystal system ... tetragonal

Entry from Alexandria via LeMat-Bulk: a relaxed structure of Al24Zn5 (GGA-PBEsol).

abc: 9.8722 9.8722 9.8722
angles: 90.00 90.00 90.00
Closest atoms and distances in Å follow each position.
Space group I-43m (No. 217)
Symmetry-distinct sites (fractional):
Al 0.0553 0.3625 0.6375 (multiplicity 24)  11 Al 2.71-3.04, 1 Zn 2.83
Al 0.0953 0.0953 0.7130 (multiplicity 24)  8 Al 2.66-2.81, 2 Zn 2.89
Zn 0.0000 0.0000 0.0000 (multiplicity 2)  4 Zn 2.73
Zn 0.1598 0.1598 0.1598 (multiplicity 8)  1 Zn 2.73, 9 Al 2.83-2.89

Values from the calculation:
VASP energy ... -3.5738 eV per atom
Total magnetic moment ... 0.0 Bohr magnetons per cell
Energy of formation from the pure elements ... 85 meV/atom
Crystal system ... cubic

Entry from Alexandria via LeMat-Bulk: a relaxed structure of Tc2AgMo (GGA-PBEsol).

abc: 3.8810 3.8810 7.8063
angles: 90.00 90.00 90.00
Closest atoms and distances in Å follow each position.
Space group I-4m2 (No. 119)
Symmetry-distinct sites (fractional):
Tc 0.0000 0.0000 0.0000 (multiplicity 2)  4 Ag 2.74, 4 Mo 2.75, 4 Tc 2.75
Tc 0.0000 0.5000 0.2500 (multiplicity 2)  4 Mo 2.74, 4 Tc 2.75, 4 Ag 2.75
Ag 0.0000 0.0000 0.5000 (multiplicity 2)  8 Tc 2.74-2.75, 4 Mo 2.75
Mo 0.0000 0.5000 0.7500 (multiplicity 2)  8 Tc 2.74-2.75, 4 Ag 2.75

Values from the calculation:
ΔE to the lowest computed polymorph ... 0.102 eV/atom
VASP energy ... -8.9962 eV per atom
Total magnetic moment ... 0.0 Bohr magnetons per cell
Energy of formation from the pure elements ... 407 meV/atom
Crystal system ... tetragonal

Entry from Alexandria via LeMat-Bulk: a relaxed structure of BaZrTaNb2 (GGA-PBEsol).

abc: 4.9823 4.9823 5.0216
angles: 90.00 90.00 90.00
Closest atoms and distances in Å follow each position.
Space group P4/mmm (No. 123)
Symmetry-distinct sites (fractional):
Ba 0.0000 0.0000 0.0000 (multiplicity 1)  4 Nb 2.49, 2 Ta 2.51
Zr 0.5000 0.5000 0.5000 (multiplicity 1)  4 Ta 3.52, 8 Nb 3.54
Ta 0.0000 0.0000 0.5000 (multiplicity 1)  2 Ba 2.51
Nb 0.0000 0.5000 0.0000 (multiplicity 2)  2 Ba 2.49

Values from the calculation:
VASP energy ... -6.6740 eV per atom
Total magnetic moment ... 0.0 Bohr magnetons per cell
Energy of formation from the pure elements ... 2413 meV/atom
Crystal system ... tetragonal

Entry from Alexandria via LeMat-Bulk: a relaxed structure of Mg5Mn (GGA-PBEsol).

abc: 8.0190 8.0190 8.0190
angles: 90.00 90.00 90.00
Closest atoms and distances in Å follow each position.
Space group F-43m (No. 216)
Symmetry-distinct sites (fractional):
Mg 0.0000 0.0000 0.0000 (multiplicity 4)  12 Mg 3.33, 4 Mn 3.47
Mg 0.1244 0.1244 0.3756 (multiplicity 16)  6 Mg 2.82-2.85
Mn 0.2500 0.2500 0.7500 (multiplicity 4)  16 Mg 3.32-3.47

Values from the calculation:
VASP energy ... -2.7008 eV per atom
Total magnetic moment ... 15.1 Bohr magnetons per cell
Energy of formation from the pure elements ... 357 meV/atom
Crystal system ... cubic